Entry 1:
First-principles (PBE) data for a relaxed structure of Cr4GaC, as listed in Alexandria.

Cell lengths 4.2010, 3.9516, 5.5549 Å; angles 62.95, 67.78, 57.89 degrees
Last column: nearest neighbours and their distance in Å.
Fractional positions:
C (0.0000, 0.0000, 0.0000)  2 Cr 1.87
Cr (0.6798, 0.6989, 0.9416)  3 C 2.26-2.39, 3 Cr 2.28-2.46
Cr (0.8758, 0.8662, 0.3822)  1 C 1.87
Cr (0.3202, 0.3011, 0.0584)  3 C 2.26-2.39, 3 Cr 2.28-2.46
Cr (0.1242, 0.1338, 0.6178)  1 C 1.87
Ga (0.5000, 0.5000, 0.5000)  6 Cr 2.39-2.41

Properties
* total magnetic moment: 0.000 Bohr magnetons per cell
* DOS at the Fermi energy: 5.63 states/eV/f.u.
* final energy: -8.15 eV per atom
* space-group type: C2/m
* ΔE_f: 0.31 eV per atom

Entry 2:
First-principles (PBE) data for a relaxed structure of CrGa3C, as listed in Alexandria.

Cell lengths 4.7442, 4.7442, 4.7442 Å; angles 90.00, 90.00, 90.00 degrees
Last column: nearest neighbours and their distance in Å.
Fractional positions:
Cr (0.0000, 0.0000, 0.0000)  6 Ga 2.37
Ga (0.5000, 0.0000, 0.0000)  2 Cr 2.37
Ga (0.0000, 0.5000, 0.0000)  2 Cr 2.37
Ga (0.0000, 0.0000, 0.5000)  2 Cr 2.37
C (0.5000, 0.5000, 0.5000)  12 Ga 3.35

Properties
* total magnetic moment: 3.919 Bohr magnetons per cell
* DOS at the Fermi energy: 6.46 states/eV/f.u.
* final energy: -3.92 eV per atom
* space-group type: Pm-3m
* ΔE_f: 1.66 eV per atom

Entry 3:
First-principles (PBE) data for a relaxed structure of CrGaC, as listed in Alexandria.

Cell lengths 2.8476, 5.0618, 9.6374 Å; angles 90.00, 90.00, 90.00 degrees
Last column: nearest neighbours and their distance in Å.
Fractional positions:
C (0.2500, 0.5372, 0.2027)  4 Cr 2.01-2.03, 1 Ga 2.15
C (0.2500, 0.0372, 0.2973)  4 Cr 2.01-2.03, 1 Ga 2.15
C (0.7500, 0.9628, 0.7027)  4 Cr 2.01-2.03, 1 Ga 2.15
C (0.7500, 0.4628, 0.7973)  4 Cr 2.01-2.03, 1 Ga 2.15
Cr (0.2500, 0.1783, 0.7975)  4 C 2.01-2.03
Cr (0.7500, 0.3217, 0.2975)  4 C 2.01-2.03
Cr (0.7500, 0.8217, 0.2025)  4 C 2.01-2.03
Cr (0.2500, 0.6783, 0.7025)  4 C 2.01-2.03
Ga (0.2500, 0.2062, 0.0632)  1 C 2.15
Ga (0.7500, 0.7938, 0.9368)  1 C 2.15
Ga (0.2500, 0.7062, 0.4368)  1 C 2.15
Ga (0.7500, 0.2938, 0.5632)  1 C 2.15

Properties
* total magnetic moment: 2.155 Bohr magnetons per cell
* DOS at the Fermi energy: 2.26 states/eV/f.u.
* final energy: -6.95 eV per atom
* space-group type: Pnma
* ΔE_f: 0.34 eV per atom